# 1
A relaxed AlRe2Te crystal, computed with PBE.

The structure in POSCAR format:
```
AlRe2Te
1.0
-1.176 1.570 -2.285
-2.762 -0.879 0.817
-0.642 6.436 4.751
Re Te Al
2 1 1
Cartesian
-2.102 1.684 0.254 Re
-0.009 0.092 0.068 Re
-0.301 3.022 2.231 Te
-2.488 5.548 3.106 Al
```

Values from the calculation:
* relative energy among the computed polymorphs: 0.0000 eV per atom
* total magnetic moment: 0.0 μB per formula unit
* energy relative to the elements, uncorrected: 0.24 eV/atom

# 2
A relaxed Nb2CuTc crystal, computed with PBE.

The structure in POSCAR format:
```
Nb2CuTc
1.0
-2.349 -0.344 -2.191
1.951 -1.839 -1.803
-1.988 -4.962 2.910
Nb Cu Tc
2 1 1
Cartesian
-0.493 -1.231 0.722 Nb
-1.495 -3.731 2.188 Nb
-0.199 -1.091 -1.997 Cu
-1.193 -3.572 -0.542 Tc
```

Values from the calculation:
* total magnetic moment: 0.0 μB per formula unit
* formation energy from the elements: -0.069 eV/atom

# 3
A relaxed Ir2W crystal, computed with PBE.

The structure in POSCAR format:
```
Ir2W
1.0
1.973 -4.636 0.371
-4.888 0.566 -1.145
2.464 2.123 -3.866
Ir W
4 2
Cartesian
-0.231 -2.540 -2.353 Ir
-2.961 -0.716 -1.663 Ir
2.509 -1.231 -2.977 Ir
-0.220 0.592 -2.286 Ir
-0.729 -1.018 -0.193 W
-2.186 -3.053 -0.580 W
```

Values from the calculation:
* total magnetic moment: 0.0 μB per formula unit
* formation energy from the elements: 0.268 eV/atom

# 4
A relaxed ZnAu2O crystal, computed with PBE.

The structure in POSCAR format:
```
ZnAu2O
1.0
-1.356 2.686 2.351
-2.247 -2.596 1.671
4.677 -1.800 7.854
Au O Zn
4 2 2
Cartesian
0.046 0.895 3.633 Au
2.149 -1.325 7.405 Au
0.363 -1.262 9.404 Au
-0.409 -1.727 3.310 Au
0.314 -2.176 5.768 O
-1.801 0.045 2.011 O
0.000 0.000 0.000 Zn
0.760 0.466 6.108 Zn
```

Values from the calculation:
* relative energy among the computed polymorphs: 0.0183 eV per atom
* total magnetic moment: 0.0 μB per formula unit
* energy relative to the elements, uncorrected: 0.13 eV/atom

# 5
A relaxed RbCdN3 crystal, computed with PBE.

The structure in POSCAR format:
```
RbCdN3
1.0
-4.003 -0.326 -1.847
-1.820 -0.380 4.010
-0.454 4.392 0.210
Rb N Cd
1 3 1
Cartesian
0.000 0.000 0.000 Rb
-2.001 -0.163 -0.924 N
-0.227 2.196 0.105 N
-0.910 -0.190 2.005 N
-3.138 1.843 1.186 Cd
```

Values from the calculation:
* total magnetic moment: 3.2 μB per formula unit
* energy relative to the elements, uncorrected: 3.12 eV/atom

# 6
A relaxed NaLi3H6Pt2 crystal, computed with PBE.

The structure in POSCAR format:
```
NaLi3H6Pt2
1.0
4.514 0.000 0.000
-2.257 3.910 0.000
0.000 0.000 7.170
Li H Pt Na
3 6 2 1
Cartesian
2.257 1.303 1.621 Li
0.000 2.606 5.549 Li
0.000 0.000 0.000 Li
0.000 1.233 1.726 H
3.447 0.616 5.444 H
1.068 0.616 5.444 H
1.190 3.293 1.726 H
2.257 2.677 5.444 H
-1.190 3.293 1.726 H
2.257 1.303 6.343 Pt
0.000 2.606 0.827 Pt
0.000 0.000 3.585 Na
```

Values from the calculation:
* total magnetic moment: 0.0 μB per formula unit

# 7
A relaxed BaTl5 crystal, computed with PBE.

The structure in POSCAR format:
```
BaTl5
1.0
-3.405 0.626 3.917
-3.922 -0.758 -3.288
2.205 -6.719 2.990
Tl Ba
5 1
Cartesian
-3.505 -4.672 1.188 Tl
-1.617 -2.180 2.431 Tl
-3.663 -0.066 0.315 Tl
0.157 -4.554 0.864 Tl
-1.873 -2.923 -1.161 Tl
0.000 0.000 0.000 Ba
```

Values from the calculation:
* relative energy among the computed polymorphs: 0.0000 eV per atom
* total magnetic moment: 0.0 μB per formula unit
* formation energy from the elements: -0.199 eV/atom

# 8
A relaxed TiVMo3 crystal, computed with PBE.

The structure in POSCAR format:
```
TiVMo3
1.0
-2.774 -1.966 -2.963
0.388 -3.903 2.227
-3.535 1.115 2.570
V Mo Ti
1 3 1
Cartesian
0.000 0.000 0.000 V
0.194 -1.952 1.113 Mo
-1.767 0.557 1.285 Mo
-1.387 -0.983 -1.482 Mo
-2.961 -2.377 0.917 Ti
```

Values from the calculation:
* relative energy among the computed polymorphs: 1.2247 eV per atom
* total magnetic moment: 0.0 μB per formula unit
* formation energy from the elements: 1.104 eV/atom

# 9
A relaxed EuMnCu4 crystal, computed with PBE.

The structure in POSCAR format:
```
EuMnCu4
1.0
-5.055 0.240 -0.630
-3.100 -0.595 4.005
-2.610 3.986 1.818
Cu Eu Mn
4 1 1
Cartesian
-5.176 2.575 1.228 Cu
-6.744 2.274 3.253 Cu
-4.187 2.153 3.572 Cu
-5.424 0.259 2.334 Cu
-2.691 0.908 1.298 Eu
0.000 0.000 0.000 Mn
```

Values from the calculation:
* total magnetic moment: 3.3 μB per formula unit
* formation energy from the elements: 0.052 eV/atom

# 10
A relaxed Be2Se crystal, computed with PBE.

The structure in POSCAR format:
```
Be2Se
1.0
-2.800 0.113 -2.892
-2.867 -2.825 -0.139
-3.805 0.946 0.917
Se Be
1 2
Cartesian
0.000 0.000 0.000 Se
-2.368 -0.441 -0.528 Be
-7.104 -1.324 -1.585 Be
```

Values from the calculation:
* relative energy among the computed polymorphs: 1.0555 eV per atom
* total magnetic moment: 0.0 μB per formula unit
* energy relative to the elements, uncorrected: 0.77 eV/atom

# 11
A relaxed SrInGaHIr crystal, computed with PBE.

The structure in POSCAR format:
```
SrInGaHIr
1.0
-4.249 -1.579 4.099
1.786 -3.765 0.401
7.396 3.881 3.492
H Ga Sr Ir In
2 2 2 2 2
Cartesian
5.040 0.664 5.638 H
0.449 0.606 3.692 H
3.479 -0.484 1.813 Ga
6.284 3.339 3.358 Ga
-2.212 -0.714 3.148 Sr
2.379 -0.656 5.094 Sr
1.445 0.941 2.400 Ir
6.036 0.999 4.346 Ir
3.676 2.105 3.393 In
0.871 -1.718 1.847 In
```

Values from the calculation:
* relative energy among the computed polymorphs: 0.0983 eV per atom
* total magnetic moment: 0.0 μB per formula unit

# 12
A relaxed CaAc2Pr4 crystal, computed with PBE.

The structure in POSCAR format:
```
CaAc2Pr4
1.0
5.759 0.000 0.000
0.000 5.759 0.000
-2.879 -2.879 9.234
Ac Pr Ca
2 4 1
Cartesian
0.000 0.000 6.937 Ac
2.879 2.879 2.297 Ac
0.000 0.000 3.292 Pr
2.879 0.000 0.000 Pr
0.000 2.879 0.000 Pr
2.879 2.879 5.942 Pr
0.000 0.000 0.000 Ca
```

Values from the calculation:
* relative energy among the computed polymorphs: 0.5803 eV per atom
* total magnetic moment: 0.0 μB per formula unit
* formation energy from the elements: 0.616 eV/atom

# 13
A relaxed Bi2MoC crystal, computed with PBE.

The structure in POSCAR format:
```
Bi2MoC
1.0
-0.217 6.303 -0.947
-1.644 -0.971 -6.085
-5.500 2.693 -2.285
Mo Bi C
2 4 2
Cartesian
0.000 0.000 0.000 Mo
-3.324 5.831 -3.374 Mo
-4.920 3.962 -4.710 Bi
-2.443 1.227 -4.548 Bi
-5.657 6.743 -7.507 Bi
-1.704 4.119 -1.868 Bi
-4.038 2.194 -5.943 C
-0.931 2.666 -3.516 C
```

Values from the calculation:
* total magnetic moment: 2.0 μB per formula unit
* formation energy from the elements: 1.543 eV/atom

# 14
A relaxed CdCuAgPd crystal, computed with PBE.

The structure in POSCAR format:
```
CdCuAgPd
1.0
4.535 0.000 0.000
2.268 3.928 0.000
2.268 1.309 3.703
Ag Cu Pd Cd
1 1 1 1
Cartesian
0.000 0.000 0.000 Ag
2.268 1.309 0.926 Cu
4.535 2.618 1.851 Pd
6.803 3.928 2.777 Cd
```

Values from the calculation:
* relative energy among the computed polymorphs: 0.0322 eV per atom
* total magnetic moment: 0.0 μB per formula unit
* formation energy from the elements: -0.090 eV/atom

# 15
A relaxed MgTa2Ge2 crystal, computed with PBE.

The structure in POSCAR format:
```
MgTa2Ge2
1.0
-4.720 -3.931 3.562
4.771 -5.230 0.551
1.134 1.350 2.993
Ta Mg Ge
4 2 4
Cartesian
2.960 -3.279 2.374 Ta
1.590 -6.330 4.269 Ta
-1.775 -4.531 4.733 Ta
-0.405 -1.480 2.838 Ta
0.000 0.000 0.000 Mg
0.025 -4.580 2.057 Mg
1.006 -2.426 0.713 Ge
-0.955 -6.735 3.400 Ge
-2.353 -3.297 2.379 Ge
2.403 -5.864 1.734 Ge
```

Values from the calculation:
* total magnetic moment: 0.0 μB per formula unit
* formation energy from the elements: -0.109 eV/atom

# 16
A relaxed Sc2SnPt crystal, computed with PBE.

The structure in POSCAR format:
```
Sc2SnPt
1.0
3.260 0.000 0.000
0.000 3.260 0.000
0.000 0.000 7.689
Pt Sn Sc
1 1 2
Cartesian
1.630 1.630 0.000 Pt
1.630 1.630 3.845 Sn
0.000 0.000 6.010 Sc
0.000 0.000 1.679 Sc
```

Values from the calculation:
* total magnetic moment: 0.0 μB per formula unit
* formation energy from the elements: -0.885 eV/atom

# 17
A relaxed Ac2ErAl crystal, computed with PBE.

The structure in POSCAR format:
```
Ac2ErAl
1.0
-0.205 1.878 -3.495
3.333 -1.818 -1.172
-4.741 -6.589 -3.263
Al Ac Er
1 2 1
Cartesian
1.564 0.030 -2.334 Al
-1.029 -1.430 -0.708 Ac
-3.712 -5.159 -2.555 Ac
-0.806 -3.264 -3.965 Er
```

Values from the calculation:
* relative energy among the computed polymorphs: 0.0000 eV per atom
* total magnetic moment: 0.0 μB per formula unit
* formation energy from the elements: -0.043 eV/atom

# 18
A relaxed Ac3Pm2PrS6 crystal, computed with PBE.

The structure in POSCAR format:
```
Ac3Pm2PrS6
1.0
7.231 -0.006 -0.003
-3.619 6.260 -0.003
-1.208 -2.091 6.853
S Ac Pr Pm
6 3 1 2
Cartesian
2.436 -0.005 1.604 S
3.625 2.055 5.243 S
0.011 0.019 5.256 S
-1.221 2.107 1.604 S
2.393 4.143 1.591 S
-0.032 4.167 5.243 S
4.833 -0.016 3.424 Ac
-2.429 4.178 3.424 Ac
1.202 2.081 3.424 Ac
0.000 0.000 0.000 Pr
3.614 2.083 -0.003 Pm
-0.002 4.171 -0.003 Pm
```

Values from the calculation:
* total magnetic moment: 0.0 μB per formula unit
* energy relative to the elements, uncorrected: -2.01 eV/atom

# 19
A relaxed RbBr3 crystal, computed with PBE.

The structure in POSCAR format:
```
RbBr3
1.0
3.288 0.000 7.730
-1.644 2.847 7.730
-1.644 -2.847 7.730
Br Rb
3 1
Cartesian
0.000 0.000 2.573 Br
0.000 0.000 0.000 Br
0.000 0.000 20.616 Br
0.000 0.000 11.595 Rb
```

Values from the calculation:
* total magnetic moment: 0.0 μB per formula unit
* energy relative to the elements, uncorrected: -0.90 eV/atom

# 20
A relaxed CaGaF2 crystal, computed with PBE.

The structure in POSCAR format:
```
CaGaF2
1.0
-6.354 1.192 4.668
-5.066 -1.899 5.858
-3.662 1.163 6.988
F Ga Ca
2 1 1
Cartesian
-1.875 0.057 2.178 F
-13.207 0.399 15.336 F
0.000 0.000 0.000 Ga
-7.541 0.228 8.757 Ca
```

Values from the calculation:
* relative energy among the computed polymorphs: 0.0000 eV per atom
* total magnetic moment: 0.0 μB per formula unit
* energy relative to the elements, uncorrected: -2.60 eV/atom

VASP energy, respectively: -7.707; -8.720; -9.957; -3.067; -2.250; -3.565; -2.491; -8.797; -5.919; -2.880; -4.293; -3.575; -5.411; -3.354; -7.016; -6.562; -4.174; -6.295; -2.397; -4.794 eV/atom.